VASP calculation (PBE) on an optimized crystal structure of CsBeIrW.

Summary:
Total magnetization (μB per formula unit): 0.2
Density (kg/m³): 12482
Total energy (eV/atom): -4.61
Space-group type: F-43m (216)

The structure in POSCAR format:
```
CsBeIrW
1.0
6.508 0.000 0.000
0.000 6.508 0.000
0.000 0.000 6.508
Cs Be Ir W
4 4 4 4
Cartesian
0.000 0.000 0.000
0.000 3.254 3.254
3.254 0.000 3.254
3.254 3.254 0.000
0.000 0.000 3.254
0.000 3.254 0.000
3.254 0.000 0.000
3.254 3.254 3.254
1.627 1.627 1.627
1.627 4.881 4.881
4.881 1.627 4.881
4.881 4.881 1.627
1.627 1.627 4.881
1.627 4.881 1.627
4.881 1.627 1.627
4.881 4.881 4.881
```